## CdMo (PBE)

Data for an optimized crystal structure of CdMo.

Structure (POSCAR):
```
CdMo
1.0
8.671 0.000 0.000
0.000 8.671 0.000
0.000 0.000 8.671
Cd Mo
8 8
Direct
0.710 0.710 0.290
0.790 0.210 0.210
0.210 0.210 0.790
0.290 0.290 0.290
0.710 0.290 0.710
0.210 0.790 0.210
0.790 0.790 0.790
0.290 0.710 0.710
0.600 0.600 0.600
0.900 0.100 0.900
0.400 0.600 0.400
0.900 0.900 0.100
0.100 0.100 0.100
0.600 0.400 0.400
0.400 0.400 0.600
0.100 0.900 0.900
```

Calculated values
**ΔE_f**: 1409 meV/atom